Density functional theory data (GGA-PBE) for a geometry-optimized HoFeNiGe2 structure.

## Properties
Total magnetization, Bohr magnetons per cell: 3.0
Total DFT energy (no corrections), eV/atom: -6.10

Unit cell a=4.0464 b=4.0464 c=9.8946 alpha=90.00 beta=90.00 gamma=90.00
Closest atoms and distances in Å follow each position.
Space group I-4m2 (No. 119)
Unique sites:
Ho: 0.0000 0.0000 0.0000  8 Ge 3.13, 4 Fe 3.20, 4 Ni 3.20
Fe: 0.0000 0.5000 0.7500  4 Ge 2.35
Ni: 0.0000 0.5000 0.2500  4 Ge 2.35
Ge: 0.0000 0.0000 0.3712  2 Fe 2.35, 2 Ni 2.35, 1 Ge 2.55